# 1
Here is a relaxed UPa2OsC4 crystal from Alexandria. Energies are from GGA-PBE.

Values from the calculation:
VASP energy   -158.59 eV/cell
Formation enthalpy at 0 K   -0.89 eV/f.u.
Magnetic moment   0.44 μB per cell
DOS at the Fermi energy   0.81 states/eV per atom

POSCAR file:
```
UPa2OsC4
1.0
-1.838 0.150 2.890
2.718 -5.493 -0.020
9.327 4.594 5.693
U Pa Os C
2 4 2 8
direct
0.108 0.216 0.750
0.892 0.784 0.250
0.366 0.732 0.549
0.634 0.268 0.049
0.634 0.268 0.451
0.366 0.732 0.951
0.851 0.703 0.750
0.149 0.297 0.250
0.280 0.561 0.135
0.720 0.439 0.635
0.720 0.439 0.865
0.280 0.561 0.365
0.000 0.000 0.500
0.000 0.000 0.000
0.458 0.916 0.750
0.542 0.084 0.250
```



# 2
Here is a relaxed Y2PaOsC4 crystal from Alexandria. Energies are from GGA-PBE.

Values from the calculation:
VASP energy   -141.42 eV/cell
Formation enthalpy at 0 K   -0.16 eV/f.u.
Magnetic moment   0.00 μB per cell
DOS at the Fermi energy   0.51 states/eV per atom

POSCAR file:
```
Y2PaOsC4
1.0
-0.834 -2.321 -2.462
1.501 -3.225 4.999
-11.489 0.280 3.630
Y Pa Os C
4 2 2 8
direct
0.368 0.736 0.542
0.632 0.264 0.042
0.632 0.264 0.458
0.368 0.736 0.958
0.097 0.194 0.750
0.903 0.806 0.250
0.841 0.683 0.750
0.159 0.317 0.250
0.272 0.545 0.136
0.728 0.455 0.636
0.728 0.455 0.864
0.272 0.545 0.364
0.000 0.000 0.500
0.000 0.000 0.000
0.436 0.872 0.750
0.564 0.128 0.250
```